a) A relaxed structure of Tb2Dy3Tm3. Source: Alexandria via LeMat-Bulk, functional GGA-PBE.

The structure in CIF format:
```
data_Tb2Dy3Tm3
_space_group_name_H-M_alt 'R 3 2'
_space_group_IT_number 155
_space_group_name_Hall 'R 3 2"'
_cell_length_a 8.9978
_cell_length_b 8.9978
_cell_length_c 11.0611
_cell_angle_alpha 90.00
_cell_angle_beta 90.00
_cell_angle_gamma 120.00
loop_
_atom_site_label
_atom_site_type_symbol
_atom_site_fract_x
_atom_site_fract_y
_atom_site_fract_z
_atom_site_occupancy
Tb1 Tb 0.0000 0.0000 0.2450 1
Dy1 Dy 0.0000 0.7445 0.0000 1
Tm1 Tm 0.0000 0.2448 0.5000 1
```

The total magnetization comes out at 17.52 μB/cell. As for the crystal system: trigonal.

b) A relaxed structure of Tb2Dy3Tm3. Source: Alexandria via LeMat-Bulk, functional GGA-PBE.

The structure in CIF format:
```
data_Tb2Dy3Tm3
_space_group_name_H-M_alt 'I m m m'
_space_group_IT_number 71
_space_group_name_Hall '-I 2 2'
_cell_length_a 4.974
_cell_length_b 4.977
_cell_length_c 19.915
_cell_angle_alpha 90.00
_cell_angle_beta 90.00
_cell_angle_gamma 90.00
loop_
_atom_site_label
_atom_site_type_symbol
_atom_site_fract_x
_atom_site_fract_y
_atom_site_fract_z
_atom_site_occupancy
Tb1 Tb 0.000 0.000 0.250 1
Dy1 Dy 0.000 0.000 0.000 1
Dy2 Dy 0.000 0.500 0.124 1
Tm1 Tm 0.000 0.000 0.500 1
Tm2 Tm 0.000 0.500 0.376 1
```

The total magnetization comes out at 0.00 μB/cell. As for the crystal system: orthorhombic.

Order of stability, best first: b), a)

a) A relaxed structure of Tb2DyTm8. Source: Alexandria via LeMat-Bulk, functional GGA-PBE.

The structure in CIF format:
```
data_Tb2DyTm8
_space_group_name_H-M_alt 'I m m m'
_space_group_IT_number 71
_space_group_name_Hall '-I 2 2'
_cell_length_a 5.414
_cell_length_b 7.968
_cell_length_c 15.765
_cell_angle_alpha 90.00
_cell_angle_beta 90.00
_cell_angle_gamma 90.00
loop_
_atom_site_label
_atom_site_type_symbol
_atom_site_fract_x
_atom_site_fract_y
_atom_site_fract_z
_atom_site_occupancy
Tb1 Tb 0.000 0.000 0.201 1
Dy1 Dy 0.000 0.000 0.500 1
Tm1 Tm 0.000 0.207 0.000 1
Tm2 Tm 0.000 0.291 0.361 1
Tm3 Tm 0.000 0.500 0.161 1
```

The total magnetization comes out at 0.00 μB/cell. As for the crystal system: orthorhombic.

b) A relaxed structure of Tb2DyTm8. Source: Alexandria via LeMat-Bulk, functional GGA-PBE.

The structure in CIF format:
```
data_Tb2DyTm8
_space_group_name_H-M_alt 'C 1 2/m 1'
_space_group_IT_number 12
_cell_length_a 17.854
_cell_length_b 4.942
_cell_length_c 7.829
_cell_angle_alpha 90.00
_cell_angle_beta 105.26
_cell_angle_gamma 90.00
loop_
_space_group_symop_operation_xyz
'x,y,z'
'-x,-y,-z'
'-x,y,-z'
'x,-y,z'
'x+1/2,y+1/2,z'
'-x+1/2,-y+1/2,-z'
'-x+1/2,y+1/2,-z'
'x+1/2,-y+1/2,z'
loop_
_atom_site_label
_atom_site_type_symbol
_atom_site_fract_x
_atom_site_fract_y
_atom_site_fract_z
_atom_site_occupancy
Tb1 Tb 0.227 0.000 0.137 1
Dy1 Dy 0.000 0.500 0.500 1
Tm1 Tm 0.045 0.000 0.227 1
Tm2 Tm 0.090 0.500 0.955 1
Tm3 Tm 0.136 0.000 0.681 1
Tm4 Tm 0.182 0.500 0.409 1
```

The total magnetization comes out at 0.00 μB/cell. As for the crystal system: monoclinic.

Order of stability, best first: b), a)

a) A relaxed structure of TbDy6Tm12. Source: Alexandria via LeMat-Bulk, functional GGA-PBE.

The structure in CIF format:
```
data_TbDy6Tm12
_space_group_name_H-M_alt 'R -3'
_space_group_IT_number 148
_space_group_name_Hall '-R 3'
_cell_length_a 11.7253
_cell_length_b 11.7253
_cell_length_c 15.0081
_cell_angle_alpha 90.00
_cell_angle_beta 90.00
_cell_angle_gamma 120.00
loop_
_atom_site_label
_atom_site_type_symbol
_atom_site_fract_x
_atom_site_fract_y
_atom_site_fract_z
_atom_site_occupancy
Tb1 Tb 0.0000 0.0000 0.0000 1
Dy1 Dy 0.0086 0.5868 0.6760 1
Tm1 Tm 0.0232 0.1839 0.1920 1
Tm2 Tm 0.0394 0.1869 0.4153 1
```

The total magnetization comes out at 0.00 μB/cell. As for the crystal system: trigonal.

b) A relaxed structure of TbDy6Tm12. Source: Alexandria via LeMat-Bulk, functional GGA-PBE.

The structure in CIF format:
```
data_TbDy6Tm12
_space_group_name_H-M_alt 'R -3 m'
_space_group_IT_number 166
_space_group_name_Hall '-R 3 2"'
_cell_length_a 14.7165
_cell_length_b 14.7165
_cell_length_c 10.2283
_cell_angle_alpha 90.00
_cell_angle_beta 90.00
_cell_angle_gamma 120.00
loop_
_atom_site_label
_atom_site_type_symbol
_atom_site_fract_x
_atom_site_fract_y
_atom_site_fract_z
_atom_site_occupancy
Tb1 Tb 0.0000 0.0000 0.0000 1
Dy1 Dy 0.0694 0.5347 0.2201 1
Tm1 Tm 0.0000 0.3879 0.5000 1
Tm2 Tm 0.0777 0.1553 0.2587 1
```

The total magnetization comes out at 0.01 μB/cell. As for the crystal system: trigonal.

Order of stability, best first: a), b)

a) A relaxed structure of Tb2Dy5Tm3. Source: Alexandria via LeMat-Bulk, functional GGA-PBE.

The structure in CIF format:
```
data_Tb2Dy5Tm3
_space_group_name_H-M_alt 'C 1 2/c 1'
_space_group_IT_number 15
_cell_length_a 10.582
_cell_length_b 15.595
_cell_length_c 9.377
_cell_angle_alpha 90.00
_cell_angle_beta 123.95
_cell_angle_gamma 90.00
loop_
_space_group_symop_operation_xyz
'x,y,z'
'-x,-y,-z'
'-x,y,-z+1/2'
'x,-y,z+1/2'
'x+1/2,y+1/2,z'
'-x+1/2,-y+1/2,-z'
'-x+1/2,y+1/2,-z+1/2'
'x+1/2,-y+1/2,z+1/2'
loop_
_atom_site_label
_atom_site_type_symbol
_atom_site_fract_x
_atom_site_fract_y
_atom_site_fract_z
_atom_site_occupancy
Tb1 Tb 0.141 0.124 0.047 1
Dy1 Dy 0.000 0.232 0.250 1
Dy2 Dy 0.000 0.272 0.750 1
Dy3 Dy 0.000 0.470 0.750 1
Dy4 Dy 0.232 0.385 0.218 1
Tm1 Tm 0.000 0.025 0.250 1
Tm2 Tm 0.158 0.381 0.548 1
```

The total magnetization comes out at 0.00 μB/cell. As for the crystal system: monoclinic.

b) A relaxed structure of Tb2Dy5Tm3. Source: Alexandria via LeMat-Bulk, functional GGA-PBE.

The structure in CIF format:
```
data_Tb2Dy5Tm3
_space_group_name_H-M_alt 'I b a m'
_space_group_IT_number 72
_space_group_name_Hall '-I 2 2c'
_cell_length_a 6.594
_cell_length_b 27.572
_cell_length_c 6.925
_cell_angle_alpha 90.00
_cell_angle_beta 90.00
_cell_angle_gamma 90.00
loop_
_atom_site_label
_atom_site_type_symbol
_atom_site_fract_x
_atom_site_fract_y
_atom_site_fract_z
_atom_site_occupancy
Tb1 Tb 0.219 0.096 0.000 1
Dy1 Dy 0.000 0.000 0.250 1
Dy2 Dy 0.000 0.316 0.250 1
Dy3 Dy 0.042 0.210 0.500 1
Tm1 Tm 0.000 0.500 0.250 1
Tm2 Tm 0.224 0.409 0.000 1
```

The total magnetization comes out at 0.00 μB/cell. As for the crystal system: orthorhombic.

Order of stability, best first: b), a)